Below is a relaxed Li2LaInAu2 crystal, with properties calculated at the GGA-PBE level.

## Properties
* space-group type: No. 164
* ΔH_f (0 K): -0.5874 eV per atom

Unit cell a=4.606 b=4.606 c=6.891 alpha=90.00 beta=90.00 gamma=120.00
Element x y z (fractional)
Li: 0.333 0.667 0.164
Li: 0.667 0.333 0.836
La: 0.000 0.000 0.500
In: 0.000 0.000 0.000
Au: 0.333 0.667 0.768
Au: 0.667 0.333 0.232



Below is a relaxed LiCeDySn crystal, with properties calculated at the GGA-PBE level.

## Properties
* space-group type: No. 216
* ΔH_f (0 K): -0.3142 eV per atom

Unit cell a=5.301 b=5.301 c=5.301 alpha=60.00 beta=60.00 gamma=60.00
Element x y z (fractional)
Li: 0.000 0.000 0.000
Ce: 0.750 0.750 0.750
Dy: 0.250 0.250 0.250
Sn: 0.500 0.500 0.500



Below is a relaxed AcCeHoGa crystal, with properties calculated at the GGA-PBE level.

## Properties
* space-group type: No. 216
* ΔH_f (0 K): 0.0598 eV per atom

Unit cell a=5.472 b=5.472 c=5.472 alpha=60.00 beta=60.00 gamma=60.00
Element x y z (fractional)
Ac: 0.000 0.000 0.000
Ce: 0.750 0.750 0.750
Ho: 0.250 0.250 0.250
Ga: 0.500 0.500 0.500



Below is a relaxed Cs2PrF6 crystal, with properties calculated at the GGA-PBE level.

## Properties
* formation energy (no corrections): -3039 meV per atom
* space-group type: No. 189

Unit cell a=7.354 b=7.354 c=3.903 alpha=90.00 beta=90.00 gamma=120.00
Element x y z (fractional)
Cs: 0.333 0.667 0.000
Cs: 0.667 0.333 0.000
Pr: 0.000 0.000 0.500
F: 0.000 0.324 0.500
F: 0.000 0.788 0.000
F: 0.212 0.212 0.000
F: 0.324 0.000 0.500
F: 0.676 0.676 0.500
F: 0.788 0.000 0.000



Below is a relaxed BaTiGa2Cl8 crystal, with properties calculated at the GGA-PBE level.

## Properties
* formation energy (no corrections): -1478 meV per atom
* space-group type: No. 2

Unit cell a=6.655 b=6.825 c=8.543 alpha=89.95 beta=89.97 gamma=89.54
Element x y z (fractional)
Ba: 0.000 0.000 0.000
Ti: 0.000 0.000 0.500
Ga: 0.500 0.500 0.249
Ga: 0.500 0.500 0.751
Cl: 0.137 0.212 0.302
Cl: 0.138 0.211 0.698
Cl: 0.291 0.816 0.500
Cl: 0.364 0.720 0.000
Cl: 0.636 0.280 0.000
Cl: 0.709 0.184 0.500
Cl: 0.862 0.789 0.302
Cl: 0.863 0.788 0.698



Below is a relaxed Nd2AlIn8 crystal, with properties calculated at the GGA-PBE level.

## Properties
* space-group type: No. 123
* ΔH_f (0 K): -0.2824 eV per atom

Unit cell a=4.818 b=4.818 c=12.440 alpha=90.00 beta=90.00 gamma=90.00
Element x y z (fractional)
Nd: 0.000 0.000 0.188
Nd: 0.000 0.000 0.812
Al: 0.000 0.000 0.500
In: 0.000 0.500 0.000
In: 0.000 0.500 0.372
In: 0.000 0.500 0.628
In: 0.500 0.000 0.000
In: 0.500 0.000 0.372
In: 0.500 0.000 0.628
In: 0.500 0.500 0.184
In: 0.500 0.500 0.816



Below is a relaxed BaBePb2 crystal, with properties calculated at the GGA-PBE level.

## Properties
* space-group type: No. 65
* ΔH_f (0 K): 0.3743 eV per atom

Unit cell a=5.991 b=5.991 c=3.681 alpha=90.00 beta=90.00 gamma=109.58
Element x y z (fractional)
Ba: 0.000 0.000 0.000
Be: 0.500 0.500 0.000
Pb: 0.000 0.500 0.500
Pb: 0.500 0.000 0.500



Below is a relaxed Tb12Y7Th crystal, with properties calculated at the GGA-PBE level.

## Properties
* space-group type: No. 148
* ΔH_f (0 K): 0.2270 eV per atom

Unit cell a=8.713 b=8.713 c=8.713 alpha=89.45 beta=89.45 gamma=89.45
Element x y z (fractional)
Tb: 0.001 0.118 0.646
Tb: 0.118 0.646 0.001
Tb: 0.221 0.761 0.633
Tb: 0.239 0.367 0.779
Tb: 0.354 0.999 0.882
Tb: 0.367 0.779 0.239
Tb: 0.633 0.221 0.761
Tb: 0.646 0.001 0.118
Tb: 0.761 0.633 0.221
Tb: 0.779 0.239 0.367
Tb: 0.882 0.354 0.999
Tb: 0.999 0.882 0.354
Y: 0.000 0.000 0.000
Y: 0.119 0.447 0.345
Y: 0.345 0.119 0.447
Y: 0.447 0.345 0.119
Y: 0.553 0.655 0.881
Y: 0.655 0.881 0.553
Y: 0.881 0.553 0.655
Th: 0.500 0.500 0.500



Below is a relaxed Sr5Ni3 crystal, with properties calculated at the GGA-PBE level.

## Properties
* space-group type: No. 65
* ΔH_f (0 K): 0.2241 eV per atom

Unit cell a=7.427 b=7.427 c=4.822 alpha=90.00 beta=90.00 gamma=111.32
Element x y z (fractional)
Sr: 0.000 0.000 0.000
Sr: 0.000 0.500 0.000
Sr: 0.297 0.297 0.500
Sr: 0.500 0.000 0.000
Sr: 0.703 0.703 0.500
Ni: 0.166 0.834 0.500
Ni: 0.500 0.500 0.000
Ni: 0.834 0.166 0.500



Below is a relaxed Pr5Ga4Ag crystal, with properties calculated at the GGA-PBE level.

## Properties
* space-group type: No. 123
* ΔH_f (0 K): -0.4883 eV per atom

Unit cell a=3.709 b=3.709 c=18.969 alpha=90.00 beta=90.00 gamma=90.00
Element x y z (fractional)
Pr: 0.000 0.000 0.000
Pr: 0.000 0.000 0.197
Pr: 0.000 0.000 0.394
Pr: 0.000 0.000 0.606
Pr: 0.000 0.000 0.803
Ga: 0.500 0.500 0.099
Ga: 0.500 0.500 0.299
Ga: 0.500 0.500 0.701
Ga: 0.500 0.500 0.901
Ag: 0.500 0.500 0.500



Below is a relaxed PmTeAu crystal, with properties calculated at the GGA-PBE level.

## Properties
* formation energy (no corrections): -966 meV per atom
* space-group type: No. 12

Unit cell a=4.530 b=4.530 c=10.549 alpha=91.03 beta=91.03 gamma=67.48
Element x y z (fractional)
Pm: 0.033 0.033 0.187
Pm: 0.967 0.967 0.813
Te: 0.327 0.327 0.672
Te: 0.673 0.673 0.328
Au: 0.316 0.316 0.973
Au: 0.684 0.684 0.027



Below is a relaxed BaTlBr2 crystal, with properties calculated at the GGA-PBE level.

## Properties
* formation energy (no corrections): -1287 meV per atom
* space-group type: No. 71

Unit cell a=5.988 b=5.988 c=5.988 alpha=130.22 beta=120.58 gamma=81.12
Element x y z (fractional)
Ba: 0.000 0.000 0.000
Tl: 0.500 0.500 0.000
Br: 0.271 0.771 0.500
Br: 0.729 0.229 0.500